# 1
## LiZr2Ta (meta-GGA SCAN)

Data for a PBEsol-optimized structure of LiZr2Ta.

Structure (extended XYZ):
```
4
Lattice="2.853 0.000 0.000 0.000 2.853 0.000 0.000 0.000 9.623" Properties=species:S:1:pos:R:3 pbc="T T T"
Li 0.000 0.000 0.000
Zr 0.000 0.000 4.535
Zr 1.426 1.426 7.192
Ta 1.426 1.426 2.247
```

Computed properties:
The value obtained for the formation energy is 0.317 eV/atom. As for the crystal system: tetragonal. The value obtained for the magnetization is 0.00 μB/f.u. Its space group is P4mm (99). The electronic total energy is -129.1 eV per cell.

***

# 2
## ScCr2Fe (meta-GGA SCAN)

Data for a PBEsol-optimized structure of ScCr2Fe.

Structure (extended XYZ):
```
4
Lattice="1.494 -2.131 0.000 1.494 2.131 0.000 0.000 0.000 8.079" Properties=species:S:1:pos:R:3 pbc="T T T"
Sc 0.000 0.000 0.000
Cr 0.000 0.000 4.080
Cr 1.494 0.000 2.309
Fe 1.494 0.000 5.894
```

Computed properties:
The value obtained for the formation energy is 0.357 eV/atom. As for the crystal system: orthorhombic. The value obtained for the magnetization is 1.64 μB/f.u. Its space group is Cmm2 (35). The electronic total energy is -67.7 eV per cell.

***

# 3
## CuTeAu2 (meta-GGA SCAN)

Data for a PBEsol-optimized structure of CuTeAu2.

Structure (extended XYZ):
```
4
Lattice="3.568 0.000 0.000 0.000 3.568 0.000 0.000 0.000 5.642" Properties=species:S:1:pos:R:3 pbc="T T T"
Cu 0.000 0.000 0.000
Te 1.784 1.784 4.293
Au 0.000 0.000 2.653
Au 1.784 1.784 1.348
```

Computed properties:
As for the formation energy from raw total energies: 150 meV/atom. As for the crystal system: tetragonal. The value obtained for the magnetization is 0.00 μB/f.u. Its space group is P4mm (99). The electronic total energy is -190.2 eV per cell.

***

# 4
## AlSi2Au (meta-GGA SCAN)

Data for a PBEsol-optimized structure of AlSi2Au.

Structure (extended XYZ):
```
4
Lattice="0.000 2.606 4.794 2.604 0.000 4.794 2.604 2.606 0.000" Properties=species:S:1:pos:R:3 pbc="T T T"
Al 0.000 0.000 0.000
Si 2.604 1.303 2.397
Si 0.000 1.303 2.397
Au 2.604 2.606 4.794
```

Computed properties:
As for the formation energy from raw total energies: 88 meV/atom. As for the crystal system: orthorhombic. The value obtained for the magnetization is 0.00 μB/f.u. Its space group is Fmmm (69). The electronic total energy is -96.6 eV per cell.

***

# 5
## LiTc2 (meta-GGA SCAN)

Data for a PBEsol-optimized structure of LiTc2.

Structure (extended XYZ):
```
6
Lattice="4.856 -1.450 0.000 4.856 1.450 0.000 -1.493 0.000 5.594" Properties=species:S:1:pos:R:3 pbc="T T T"
Li 1.734 0.000 0.534
Li 6.485 0.000 5.060
Tc 0.617 0.000 3.113
Tc 3.658 0.000 4.377
Tc 4.561 0.000 1.218
Tc 7.602 0.000 2.481
```

Computed properties:
The value obtained for the formation energy is 0.151 eV/atom. As for the crystal system: monoclinic. The value obtained for the magnetization is 0.00 μB/f.u. Its space group is C2/m (12). The electronic total energy is -144.1 eV per cell.

***

# 6
## ZrIrPb2 (meta-GGA SCAN)

Data for a PBEsol-optimized structure of ZrIrPb2.

Structure (extended XYZ):
```
4
Lattice="-2.121 2.121 4.615 2.121 -2.121 4.615 2.121 2.121 -4.615" Properties=species:S:1:pos:R:3 pbc="T T T"
Zr 0.000 0.000 0.000
Ir 2.121 0.000 2.307
Pb 0.000 0.000 4.615
Pb 0.000 2.121 2.307
```

Computed properties:
The value obtained for the formation energy is 0.040 eV/atom. As for the crystal system: tetragonal. The value obtained for the magnetization is 0.00 μB/f.u. Its space group is I-4m2 (119). The electronic total energy is -253.2 eV per cell.

***

# 7
## HfSi3Ag (meta-GGA SCAN)

Data for a PBEsol-optimized structure of HfSi3Ag.

Structure (extended XYZ):
```
5
Lattice="4.680 0.000 0.000 0.000 4.680 0.000 0.000 0.000 4.680" Properties=species:S:1:pos:R:3 pbc="T T T"
Hf 0.000 0.000 0.000
Si 0.000 2.340 2.340
Si 2.340 0.000 2.340
Si 2.340 2.340 0.000
Ag 2.340 2.340 2.340
```

Computed properties:
As for the formation energy from raw total energies: 1242 meV/atom. As for the crystal system: cubic. The value obtained for the magnetization is 0.00 μB/f.u. Its space group is Pm-3m (221). The electronic total energy is -117.9 eV per cell.

***

# 8
## CoNiIr2 (meta-GGA SCAN)

Data for a PBEsol-optimized structure of CoNiIr2.

Structure (extended XYZ):
```
4
Lattice="4.303 -1.319 0.000 4.303 1.319 0.000 -0.809 0.000 4.303" Properties=species:S:1:pos:R:3 pbc="T T T"
Co 0.000 0.000 0.000
Ni 6.242 0.000 1.033
Ir 1.556 0.000 3.226
Ir 3.897 0.000 2.115
```

Computed properties:
The value obtained for the formation energy is 0.028 eV/atom. As for the crystal system: monoclinic. The value obtained for the magnetization is 2.33 μB/f.u. Its space group is Cm (8). The electronic total energy is -175.6 eV per cell.

***

# 9
## LaYI3 (meta-GGA SCAN)

Data for a PBEsol-optimized structure of LaYI3.

Structure (extended XYZ):
```
5
Lattice="6.115 0.000 0.000 0.000 6.115 0.000 0.000 0.000 6.115" Properties=species:S:1:pos:R:3 pbc="T T T"
La 0.000 0.000 0.000
Y 3.058 3.058 3.058
I 0.000 0.000 3.058
I 0.000 3.058 0.000
I 3.058 0.000 0.000
```

Computed properties:
As for the formation energy from raw total energies: -532 meV/atom. As for the crystal system: cubic. The value obtained for the magnetization is 2.69 μB/f.u. Its space group is Pm-3m (221). The electronic total energy is -183.8 eV per cell.

***

# 10
## Na2GePCO7 (meta-GGA SCAN)

Data for a PBEsol-optimized structure of Na2GePCO7.

Structure (extended XYZ):
```
24
Lattice="5.348 0.000 0.000 0.000 6.480 0.000 -0.265 0.000 9.083" Properties=species:S:1:pos:R:3 pbc="T T T"
Na 1.212 0.063 2.452
Na 1.212 3.176 2.452
Na 3.871 3.303 6.631
Na 3.871 6.416 6.631
Ge 1.489 1.620 7.792
Ge 3.594 4.860 1.291
P 0.961 4.860 8.327
P 4.122 1.620 0.756
C 1.114 1.620 5.333
C 3.968 4.860 3.750
O 0.084 1.620 6.147
O 0.300 1.620 0.865
O 1.036 1.620 4.091
O 1.653 4.860 0.753
O 1.607 3.633 7.616
O 1.607 6.087 7.616
O 2.273 1.620 5.988
O 2.810 4.860 3.095
O 3.476 0.393 1.467
O 3.476 2.847 1.467
O 3.430 1.620 8.331
O 4.047 4.860 4.992
O 4.783 4.860 8.218
O 4.999 4.860 2.936
```

Computed properties:
As for the formation energy from raw total energies: -1919 meV/atom. As for the crystal system: monoclinic. The value obtained for the magnetization is 0.00 μB/f.u. Its space group is P2_1/m (11). The electronic total energy is -229.3 eV per cell.

***

# 11
## CrIn2Sb (meta-GGA SCAN)

Data for a PBEsol-optimized structure of CrIn2Sb.

Structure (extended XYZ):
```
4
Lattice="-2.223 2.223 4.460 2.223 -2.223 4.460 2.223 2.223 -4.460" Properties=species:S:1:pos:R:3 pbc="T T T"
Cr 0.000 0.000 0.000
In 0.000 0.000 4.460
In 0.000 2.223 2.230
Sb 2.223 0.000 2.230
```

Computed properties:
As for the formation energy from raw total energies: 177 meV/atom. As for the crystal system: tetragonal. The value obtained for the magnetization is 4.01 μB/f.u. Its space group is I-4m2 (119). The electronic total energy is -121.7 eV per cell.

***

# 12
## NaH4AuBr4O2 (meta-GGA SCAN)

Data for a PBEsol-optimized structure of NaH4AuBr4O2.

Structure (extended XYZ):
```
48
Lattice="12.925 0.000 0.000 0.000 7.177 0.000 0.000 0.000 9.341" Properties=species:S:1:pos:R:3 pbc="T T T"
Na 0.153 1.794 0.554
Na 6.310 5.383 5.225
Na 6.615 1.794 4.116
Na 12.772 5.383 8.787
H 1.904 0.235 8.155
H 1.904 3.354 8.155
H 2.276 3.910 0.223
H 2.276 6.856 0.223
H 4.186 0.321 4.894
H 4.186 3.267 4.894
H 4.558 3.823 3.484
H 4.558 6.943 3.484
H 8.366 0.235 5.857
H 8.366 3.354 5.857
H 8.738 3.910 4.447
H 8.738 6.856 4.447
H 10.649 0.321 9.117
H 10.649 3.267 9.117
H 11.021 3.823 1.186
H 11.021 6.943 1.186
Au 0.806 1.794 4.791
Au 5.657 5.383 0.121
Au 7.268 1.794 9.220
Au 12.119 5.383 4.549
Br 0.643 5.383 2.593
Br 1.171 5.383 5.981
Br 2.261 1.794 2.829
Br 2.769 1.794 6.269
Br 3.693 5.383 1.598
Br 4.201 5.383 7.499
Br 5.292 1.794 1.311
Br 5.820 1.794 7.264
Br 7.105 5.383 2.077
Br 7.633 5.383 8.030
Br 8.724 1.794 1.842
Br 9.231 1.794 7.743
Br 10.156 5.383 3.072
Br 10.663 5.383 6.512
Br 11.754 1.794 3.360
Br 12.282 1.794 6.748
O 1.516 0.008 9.030
O 1.516 3.581 9.030
O 4.947 3.596 4.360
O 4.947 7.170 4.360
O 7.978 0.008 4.981
O 7.978 3.581 4.981
O 11.409 3.596 0.311
O 11.409 7.170 0.311
```

Computed properties:
As for the crystal system: orthorhombic. The value obtained for the magnetization is 0.00 μB/f.u. Its space group is Pnma (62). The electronic total energy is -753.1 eV per cell.

***

Question: Look up the magnetization of the first one.
Answer: 0.00 μB/f.u.